# 1
An optimized crystal structure of Cr3W13, computed with PBE.

* total DFT energy (no corrections): -12.280 eV per atom
* V: 247 Å³/f.u.
* SG: Amm2

```
Cr3W13
1.0
-4.9919 -2.8516 2.5054
2.6396 -5.5695 -1.1580
2.7549 0.1330 5.6405
W Cr
13 3
Cartesian
0.0688 -2.0607 1.7623 W
-1.0385 -6.2958 2.4029 W
1.4468 -1.9944 4.5823 W
-0.9083 -5.5091 7.5467 W
-2.3832 -3.4603 2.9929 W
2.7771 -4.8412 3.9996 W
0.2034 -4.1676 3.5096 W
0.4049 -8.2662 6.9701 W
-1.0090 -3.3763 5.8143 W
1.4113 -4.8954 1.1734 W
1.5681 -4.1017 6.3038 W
-0.9599 -8.3321 4.1760 W
-2.2731 -5.5750 4.7522 W
0.3093 -6.2187 5.2374 Cr
2.8895 -6.8606 5.7303 Cr
1.5194 -6.9267 2.9251 Cr
```

***

# 2
An optimized crystal structure of CrW3, computed with PBE.

* total DFT energy (no corrections): -11.681 eV per atom
* V: 62 Å³/f.u.
* SG: Pmmn

```
CrW3
1.0
4.6378 0.0000 0.0000
0.0000 5.1338 0.0000
0.0000 0.0000 5.2070
W Cr
6 2
Cartesian
0.0000 3.8651 4.4377 W
2.3189 3.8356 0.7693 W
0.0000 2.5669 1.9090 W
0.0000 1.2687 4.4377 W
2.3189 1.2982 0.7693 W
2.3189 0.0000 3.2980 W
2.3189 2.5669 3.4213 Cr
0.0000 0.0000 1.7857 Cr
```

***

| no. | total magnetic moment (μB/f.u.) |
| --- | --- |
| 1 | 0.00 |
| 2 | 0.91 |